Record 1
VASP calculation (GGA-PBE) on Zr6CuRh after structural relaxation.

## Properties
DOS at the Fermi energy = 9.96 states/eV/f.u.
energy of formation = 0.80 eV/f.u.
calculated volume = 347.3 Å³ per cell

Cell: 6.0964 10.8637 6.0306 Å, 90.00 119.60 90.00°
Closest atoms and distances in Å follow each position.
Space group C2/m (No. 12)
Inequivalent atoms, fractional coordinates:
1 Zr 0.2443 0.2069 0.2474  1 Cu 2.70, 1 Rh 2.73, 1 Zr 3.00
2 Zr 0.2482 0.0000 0.7543  1 Cu 2.59, 1 Rh 2.65
3 Cu 0.0000 0.0000 0.0000  6 Zr 2.59-2.70
4 Rh 0.0000 0.5000 0.5000  6 Zr 2.65-2.73

Record 2
VASP calculation (GGA-PBE) on ZrCu2Rh after structural relaxation.

## Properties
DOS at the Fermi energy = 1.73 states/eV/f.u.
energy of formation = -0.20 eV/f.u.
calculated volume = 261.9 Å³ per cell

Cell: 3.7012 3.7012 19.1178 Å, 90.00 90.00 90.00°
Closest atoms and distances in Å follow each position.
Space group I-42d (No. 122)
Inequivalent atoms, fractional coordinates:
1 Zr 0.0000 0.0000 0.0000  4 Rh 2.62, 4 Cu 2.77
2 Cu 0.2189 0.2500 0.6250  2 Cu 2.46, 2 Rh 2.69
3 Rh 0.0000 0.0000 0.5000  4 Zr 2.62, 4 Cu 2.69

Record 3
VASP calculation (GGA-PBE) on ZrCu2Rh after structural relaxation.

## Properties
DOS at the Fermi energy = 3.94 states/eV/f.u.
energy of formation = 0.23 eV/f.u.
calculated volume = 186.9 Å³ per cell

Cell: 2.8934 2.8934 25.7800 Å, 90.00 90.00 120.00°
Closest atoms and distances in Å follow each position.
Space group R3m (No. 160, hexagonal axes)
Inequivalent atoms, fractional coordinates:
1 Zr 0.0000 0.0000 0.0000  3 Rh 2.82, 3 Cu 2.88, 6 Zr 2.89
2 Cu 0.0000 0.0000 0.4981  3 Cu 2.53, 3 Rh 2.67
3 Cu 0.0000 0.0000 0.7575  3 Cu 2.53
4 Rh 0.0000 0.0000 0.2454  3 Cu 2.67, 3 Zr 2.82, 6 Rh 2.89

Record 4
VASP calculation (GGA-PBE) on ZrCu2Rh2 after structural relaxation.

## Properties
DOS at the Fermi energy = 5.56 states/eV/f.u.
energy of formation = -0.96 eV/f.u.
calculated volume = 152.0 Å³ per cell
energy above the lowest structure with this stoichiometry = 0.045 eV/atom

Cell: 7.0316 7.0316 3.0743 Å, 90.00 90.00 90.00°
Closest atoms and distances in Å follow each position.
Space group P4/mbm (No. 127)
Inequivalent atoms, fractional coordinates:
1 Zr 0.0000 0.0000 0.0000  4 Rh 2.72
2 Cu 0.1590 0.3410 0.5000  6 Rh 2.54-2.60
3 Rh 0.1379 0.6379 0.0000  6 Cu 2.54-2.60, 2 Zr 2.72, 1 Rh 2.74

Record 5
VASP calculation (GGA-PBE) on ZrCuRh after structural relaxation.

## Properties
DOS at the Fermi energy = 0.86 states/eV/f.u.
energy of formation = -0.59 eV/f.u.
calculated volume = 228.8 Å³ per cell
energy above the lowest structure with this stoichiometry = 0.345 eV/atom

Cell: 6.1163 6.1163 6.1163 Å, 90.00 90.00 90.00°
Closest atoms and distances in Å follow each position.
Space group F-43m (No. 216)
Inequivalent atoms, fractional coordinates:
1 Zr 0.0000 0.0000 0.0000  4 Rh 2.65
2 Cu 0.0000 0.0000 0.5000  4 Rh 2.65
3 Rh 0.2500 0.2500 0.7500  4 Zr 2.65, 4 Cu 2.65

Record 6
VASP calculation (GGA-PBE) on ZrCuRh4 after structural relaxation.

## Properties
DOS at the Fermi energy = 8.46 states/eV/f.u.
energy of formation = -1.38 eV/f.u.
calculated volume = 383.6 Å³ per cell

Cell: 7.2663 7.2663 7.2663 Å, 90.00 90.00 90.00°
Closest atoms and distances in Å follow each position.
Space group F-43m (No. 216)
Inequivalent atoms, fractional coordinates:
1 Zr 0.0000 0.0000 0.0000  12 Rh 3.01, 4 Cu 3.15
2 Cu 0.2500 0.2500 0.7500  12 Rh 3.01, 4 Zr 3.15
3 Rh 0.1246 0.1246 0.3754  6 Rh 2.56-2.58

Record 7
VASP calculation (GGA-PBE) on Zr2Cu2Rh3 after structural relaxation.

## Properties
DOS at the Fermi energy = 4.04 states/eV/f.u.
energy of formation = -2.97 eV/f.u.
calculated volume = 235.1 Å³ per cell

Cell: 7.8063 4.5066 7.1645 Å, 90.00 111.13 90.00°
Closest atoms and distances in Å follow each position.
Space group C2/m (No. 12)
Inequivalent atoms, fractional coordinates:
1 Zr 0.1070 0.0000 0.3202  7 Rh 2.63-2.87
2 Cu 0.1302 0.5000 0.8924  2 Rh 2.48-2.62
3 Rh 0.0000 0.5000 0.5000  2 Cu 2.62, 6 Zr 2.87
4 Rh 0.2448 0.0000 0.7361  1 Cu 2.48, 4 Zr 2.63-2.78

Record 8
VASP calculation (GGA-PBE) on ZrCu2Rh after structural relaxation.

## Properties
DOS at the Fermi energy = 1.26 states/eV/f.u.
energy of formation = -1.16 eV/f.u.
calculated volume = 61.8 Å³ per cell

Cell: 3.2898 3.3847 5.5498 Å, 90.00 90.00 90.00°
Closest atoms and distances in Å follow each position.
Space group Pmm2 (No. 25)
Inequivalent atoms, fractional coordinates:
1 Zr 0.0000 0.0000 0.0000  4 Rh 2.72, 6 Cu 2.73-2.85
2 Cu 0.0000 0.0000 0.5090  4 Cu 2.61, 2 Zr 2.73-2.82, 4 Rh 2.79
3 Cu 0.5000 0.5000 0.7109  1 Rh 2.60, 4 Cu 2.61, 4 Zr 2.85
4 Rh 0.5000 0.5000 0.2424  5 Cu 2.60-2.79, 4 Zr 2.72